Entry 1:
Entry from the Alexandria database: Li3IrN after structural relaxation (PBE).

raw formation energy = 6.5 eV per formula unit
calculated density = 3.51 Mg/m³

The structure in CIF format:
```
data_Li3IrN
_cell_length_a 4.753
_cell_length_b 4.753
_cell_length_c 4.753
_cell_angle_alpha 90.00
_cell_angle_beta 90.00
_cell_angle_gamma 90.00
_symmetry_space_group_name_H-M 'P m -3 m'
_symmetry_Int_Tables_number 221
_symmetry_space_group_name_Hall '-P 4 2 3'
loop_
_atom_site_label
_atom_site_type_symbol
_atom_site_fract_x
_atom_site_fract_y
_atom_site_fract_z
_atom_site_occupancy
Li1 Li 0.000 0.000 0.500 1
Ir1 Ir 0.000 0.000 0.000 1
N1 N 0.500 0.500 0.500 1
```

Entry 2:
Entry from the Alexandria database: PrHo7Tm5 after structural relaxation (PBE).

formation energy from the elements = 251 meV per atom
calculated density = 8.44 Mg/m³

The structure in CIF format:
```
data_PrHo7Tm5
_cell_length_a 6.637
_cell_length_b 11.069
_cell_length_c 11.465
_cell_angle_alpha 90.00
_cell_angle_beta 90.00
_cell_angle_gamma 90.00
_symmetry_space_group_name_H-M 'I m m 2'
_symmetry_Int_Tables_number 44
loop_
_symmetry_equiv_pos_as_xyz
'x,y,z'
'-x,-y,z'
'-x,y,z'
'x,-y,z'
'x+1/2,y+1/2,z+1/2'
'-x+1/2,-y+1/2,z+1/2'
'-x+1/2,y+1/2,z+1/2'
'x+1/2,-y+1/2,z+1/2'
loop_
_atom_site_label
_atom_site_type_symbol
_atom_site_fract_x
_atom_site_fract_y
_atom_site_fract_z
_atom_site_occupancy
Pr1 Pr 0.000 0.000 0.000 1
Ho1 Ho 0.000 0.000 0.303 1
Ho2 Ho 0.000 0.000 0.610 1
Ho3 Ho 0.000 0.328 0.051 1
Ho4 Ho 0.000 0.329 0.552 1
Ho5 Ho 0.000 0.500 0.297 1
Tm1 Tm 0.000 0.500 0.803 1
Tm2 Tm 0.235 0.231 0.801 1
```

Entry 3:
Entry from the Alexandria database: Th5FeTe2 after structural relaxation (PBE).

raw formation energy = -4.4 eV per formula unit
calculated density = 10.73 Mg/m³

The structure in CIF format:
```
data_Th5FeTe2
_cell_length_a 8.152
_cell_length_b 12.294
_cell_length_c 4.542
_cell_angle_alpha 90.00
_cell_angle_beta 90.00
_cell_angle_gamma 90.00
_symmetry_space_group_name_H-M 'P b a m'
_symmetry_Int_Tables_number 55
loop_
_symmetry_equiv_pos_as_xyz
'x,y,z'
'-x,-y,-z'
'-x,-y,z'
'x,y,-z'
'x+1/2,-y+1/2,-z'
'-x+1/2,y+1/2,z'
'-x+1/2,y+1/2,-z'
'x+1/2,-y+1/2,z'
loop_
_atom_site_label
_atom_site_type_symbol
_atom_site_fract_x
_atom_site_fract_y
_atom_site_fract_z
_atom_site_occupancy
Th1 Th 0.000 0.000 0.000 1
Th2 Th 0.127 0.307 0.000 1
Th3 Th 0.196 0.563 0.500 1
Fe1 Fe 0.000 0.500 0.000 1
Te1 Te 0.087 0.824 0.500 1
```

Entry 4:
Entry from the Alexandria database: ScTaCrAg2 after structural relaxation (PBE).

formation energy from the elements = 1147 meV per atom
calculated density = 6.96 Mg/m³

The structure in CIF format:
```
data_ScTaCrAg2
_cell_length_a 5.132
_cell_length_b 5.132
_cell_length_c 4.474
_cell_angle_alpha 90.00
_cell_angle_beta 90.00
_cell_angle_gamma 90.00
_symmetry_space_group_name_H-M 'P 4/m m m'
_symmetry_Int_Tables_number 123
_symmetry_space_group_name_Hall '-P 4 2'
loop_
_atom_site_label
_atom_site_type_symbol
_atom_site_fract_x
_atom_site_fract_y
_atom_site_fract_z
_atom_site_occupancy
Sc1 Sc 0.000 0.000 0.000 1
Ta1 Ta 0.500 0.500 0.500 1
Cr1 Cr 0.500 0.500 0.000 1
Ag1 Ag 0.000 0.500 0.500 1
```

Entry 5:
Entry from the Alexandria database: Nb4Pd4Rh after structural relaxation (PBE).

formation energy from the elements = -265 meV per atom
calculated density = 10.15 Mg/m³

The structure in CIF format:
```
data_Nb4Pd4Rh
_cell_length_a 8.708
_cell_length_b 8.708
_cell_length_c 3.885
_cell_angle_alpha 90.00
_cell_angle_beta 90.00
_cell_angle_gamma 90.00
_symmetry_space_group_name_H-M 'I 4/m m m'
_symmetry_Int_Tables_number 139
_symmetry_space_group_name_Hall '-I 4 2'
loop_
_atom_site_label
_atom_site_type_symbol
_atom_site_fract_x
_atom_site_fract_y
_atom_site_fract_z
_atom_site_occupancy
Nb1 Nb 0.000 0.324 0.000 1
Pd1 Pd 0.165 0.165 0.500 1
Rh1 Rh 0.000 0.000 0.000 1
```

Entry 6:
Entry from the Alexandria database: LiTl6 after structural relaxation (PBE).

formation energy from the elements = -28 meV per atom
calculated density = 10.13 Mg/m³

The structure in CIF format:
```
data_LiTl6
_cell_length_a 5.5416
_cell_length_b 5.5416
_cell_length_c 22.7977
_cell_angle_alpha 90.00
_cell_angle_beta 90.00
_cell_angle_gamma 120.00
_symmetry_space_group_name_H-M 'R -3 m'
_symmetry_Int_Tables_number 166
_symmetry_space_group_name_Hall '-R 3 2"'
loop_
_atom_site_label
_atom_site_type_symbol
_atom_site_fract_x
_atom_site_fract_y
_atom_site_fract_z
_atom_site_occupancy
Li1 Li 0.0000 0.0000 0.0000 1
Tl1 Tl 0.0000 0.0000 0.1378 1
Tl2 Tl 0.0000 0.0000 0.2840 1
Tl3 Tl 0.0000 0.0000 0.4280 1
```

Entry 7:
Entry from the Alexandria database: Cr2C after structural relaxation (PBE).

formation energy from the elements = 131 meV per atom
calculated density = 6.58 Mg/m³

The structure in CIF format:
```
data_Cr2C
_cell_length_a 2.6667
_cell_length_b 2.6667
_cell_length_c 14.2584
_cell_angle_alpha 90.00
_cell_angle_beta 90.00
_cell_angle_gamma 120.00
_symmetry_space_group_name_H-M 'R 3 m'
_symmetry_Int_Tables_number 160
_symmetry_space_group_name_Hall 'R 3 -2"'
loop_
_atom_site_label
_atom_site_type_symbol
_atom_site_fract_x
_atom_site_fract_y
_atom_site_fract_z
_atom_site_occupancy
Cr1 Cr 0.0000 0.0000 0.0000 1
Cr2 Cr 0.0000 0.0000 0.1814 1
C1 C 0.0000 0.0000 0.4244 1
```

Entry 8:
Entry from the Alexandria database: RbHS3 after structural relaxation (PBE).

uncorrected energy = -1.88 eV per atom
calculated density = 1.03 Mg/m³

The structure in CIF format:
```
data_RbHS3
_cell_length_a 6.647
_cell_length_b 6.647
_cell_length_c 6.647
_cell_angle_alpha 90.00
_cell_angle_beta 90.00
_cell_angle_gamma 90.00
_symmetry_space_group_name_H-M 'P m -3 m'
_symmetry_Int_Tables_number 221
_symmetry_space_group_name_Hall '-P 4 2 3'
loop_
_atom_site_label
_atom_site_type_symbol
_atom_site_fract_x
_atom_site_fract_y
_atom_site_fract_z
_atom_site_occupancy
Rb1 Rb 0.000 0.000 0.000 1
H1 H 0.500 0.500 0.500 1
S1 S 0.000 0.000 0.500 1
```

Entry 9:
Entry from the Alexandria database: FeAgPbCl6 after structural relaxation (PBE).

raw formation energy = -6.1 eV per formula unit
calculated density = 4.34 Mg/m³

The structure in CIF format:
```
data_FeAgPbCl6
_cell_length_a 6.7868
_cell_length_b 6.7868
_cell_length_c 11.1841
_cell_angle_alpha 90.00
_cell_angle_beta 90.00
_cell_angle_gamma 120.00
_symmetry_space_group_name_H-M 'P -3 1 c'
_symmetry_Int_Tables_number 163
_symmetry_space_group_name_Hall '-P 3 2c'
loop_
_atom_site_label
_atom_site_type_symbol
_atom_site_fract_x
_atom_site_fract_y
_atom_site_fract_z
_atom_site_occupancy
Fe1 Fe 0.3333 0.6667 0.2500 1
Ag1 Ag 0.0000 0.0000 0.0000 1
Pb1 Pb 0.3333 0.6667 0.7500 1
Cl1 Cl 0.0646 0.3865 0.1290 1
```

Entry 10:
Entry from the Alexandria database: CuOsRh2 after structural relaxation (PBE).

formation energy from the elements = 186 meV per atom
calculated density = 13.87 Mg/m³

The structure in CIF format:
```
data_CuOsRh2
_cell_length_a 3.755
_cell_length_b 3.755
_cell_length_c 7.803
_cell_angle_alpha 90.00
_cell_angle_beta 90.00
_cell_angle_gamma 90.00
_symmetry_space_group_name_H-M 'I -4 m 2'
_symmetry_Int_Tables_number 119
_symmetry_space_group_name_Hall 'I -4 -2'
loop_
_atom_site_label
_atom_site_type_symbol
_atom_site_fract_x
_atom_site_fract_y
_atom_site_fract_z
_atom_site_occupancy
Cu1 Cu 0.000 0.000 0.000 1
Os1 Os 0.000 0.500 0.750 1
Rh1 Rh 0.000 0.000 0.500 1
Rh2 Rh 0.000 0.500 0.250 1
```

Entry 11:
Entry from the Alexandria database: HfAlIn after structural relaxation (PBE).

formation energy from the elements = -59 meV per atom
calculated density = 8.00 Mg/m³

The structure in CIF format:
```
data_HfAlIn
_cell_length_a 4.4986
_cell_length_b 4.4986
_cell_length_c 22.7577
_cell_angle_alpha 90.00
_cell_angle_beta 90.00
_cell_angle_gamma 120.00
_symmetry_space_group_name_H-M 'R -3 m'
_symmetry_Int_Tables_number 166
_symmetry_space_group_name_Hall '-R 3 2"'
loop_
_atom_site_label
_atom_site_type_symbol
_atom_site_fract_x
_atom_site_fract_y
_atom_site_fract_z
_atom_site_occupancy
Hf1 Hf 0.0000 0.0000 0.0636 1
Al1 Al 0.0000 0.0000 0.3346 1
In1 In 0.0000 0.0000 0.1984 1
```

Entry 12:
Entry from the Alexandria database: LiSc2Br6 after structural relaxation (PBE).

raw formation energy = -14.3 eV per formula unit
calculated density = 3.64 Mg/m³

The structure in CIF format:
```
data_LiSc2Br6
_cell_length_a 13.481
_cell_length_b 11.626
_cell_length_c 6.807
_cell_angle_alpha 90.00
_cell_angle_beta 100.12
_cell_angle_gamma 90.00
_symmetry_space_group_name_H-M 'C 1 2/c 1'
_symmetry_Int_Tables_number 15
loop_
_symmetry_equiv_pos_as_xyz
'x,y,z'
'-x,-y,-z'
'-x,y,-z+1/2'
'x,-y,z+1/2'
'x+1/2,y+1/2,z'
'-x+1/2,-y+1/2,-z'
'-x+1/2,y+1/2,-z+1/2'
'x+1/2,-y+1/2,z+1/2'
loop_
_atom_site_label
_atom_site_type_symbol
_atom_site_fract_x
_atom_site_fract_y
_atom_site_fract_z
_atom_site_occupancy
Li1 Li 0.000 0.086 0.250 1
Sc1 Sc 0.248 0.402 0.996 1
Br1 Br 0.120 0.250 0.107 1
Br2 Br 0.126 0.070 0.632 1
Br3 Br 0.143 0.425 0.636 1
```

Entry 13:
Entry from the Alexandria database: Rb3Au5F12 after structural relaxation (PBE).

raw formation energy = -26.0 eV per formula unit
calculated density = 6.05 Mg/m³

The structure in CIF format:
```
data_Rb3Au5F12
_cell_length_a 14.774
_cell_length_b 14.774
_cell_length_c 14.774
_cell_angle_alpha 90.00
_cell_angle_beta 90.00
_cell_angle_gamma 90.00
_symmetry_space_group_name_H-M 'I a -3 d'
_symmetry_Int_Tables_number 230
_symmetry_space_group_name_Hall '-I 4bd 2c 3'
loop_
_atom_site_label
_atom_site_type_symbol
_atom_site_fract_x
_atom_site_fract_y
_atom_site_fract_z
_atom_site_occupancy
Rb1 Rb 0.000 0.250 0.125 1
Au1 Au 0.000 0.000 0.000 1
Au2 Au 0.000 0.250 0.375 1
F1 F 0.027 0.048 0.639 1
```

Entry 14:
Entry from the Alexandria database: CaEr2Rh after structural relaxation (PBE).

formation energy from the elements = -271 meV per atom
calculated density = 5.92 Mg/m³

The structure in CIF format:
```
data_CaEr2Rh
_cell_length_a 3.8504
_cell_length_b 3.8504
_cell_length_c 31.2993
_cell_angle_alpha 90.00
_cell_angle_beta 90.00
_cell_angle_gamma 120.00
_symmetry_space_group_name_H-M 'R -3 m'
_symmetry_Int_Tables_number 166
_symmetry_space_group_name_Hall '-R 3 2"'
loop_
_atom_site_label
_atom_site_type_symbol
_atom_site_fract_x
_atom_site_fract_y
_atom_site_fract_z
_atom_site_occupancy
Ca1 Ca 0.0000 0.0000 0.0000 1
Er1 Er 0.0000 0.0000 0.1172 1
Rh1 Rh 0.0000 0.0000 0.5000 1
```

Entry 15:
Entry from the Alexandria database: V2PbSeS after structural relaxation (PBE).

raw formation energy = 3.3 eV per formula unit
calculated density = 5.20 Mg/m³

The structure in CIF format:
```
data_V2PbSeS
_cell_length_a 4.729
_cell_length_b 4.729
_cell_length_c 5.997
_cell_angle_alpha 90.00
_cell_angle_beta 90.00
_cell_angle_gamma 90.00
_symmetry_space_group_name_H-M 'P 4/m m m'
_symmetry_Int_Tables_number 123
_symmetry_space_group_name_Hall '-P 4 2'
loop_
_atom_site_label
_atom_site_type_symbol
_atom_site_fract_x
_atom_site_fract_y
_atom_site_fract_z
_atom_site_occupancy
V1 V 0.000 0.500 0.000 1
Pb1 Pb 0.000 0.000 0.500 1
Se1 Se 0.000 0.000 0.000 1
S1 S 0.500 0.500 0.500 1
```

Entry 16:
Entry from the Alexandria database: Li3Mg8Sc2 after structural relaxation (PBE).

formation energy from the elements = 32 meV per atom
calculated density = 1.71 Mg/m³

The structure in CIF format:
```
data_Li3Mg8Sc2
_cell_length_a 5.151
_cell_length_b 5.026
_cell_length_c 11.544
_cell_angle_alpha 90.00
_cell_angle_beta 96.97
_cell_angle_gamma 90.00
_symmetry_space_group_name_H-M 'P 1 2/m 1'
_symmetry_Int_Tables_number 10
loop_
_symmetry_equiv_pos_as_xyz
'x,y,z'
'-x,-y,-z'
'-x,y,-z'
'x,-y,z'
loop_
_atom_site_label
_atom_site_type_symbol
_atom_site_fract_x
_atom_site_fract_y
_atom_site_fract_z
_atom_site_occupancy
Li1 Li 0.000 0.000 0.000 1
Li2 Li 0.253 0.500 0.081 1
Mg1 Mg 0.157 0.000 0.266 1
Mg2 Mg 0.245 0.500 0.421 1
Mg3 Mg 0.258 0.500 0.747 1
Mg4 Mg 0.409 0.000 0.874 1
Sc1 Sc 0.286 0.000 0.585 1
```

Entry 17:
Entry from the Alexandria database: DyHo3Ge4 after structural relaxation (PBE).

formation energy from the elements = -652 meV per atom
calculated density = 7.92 Mg/m³

The structure in CIF format:
```
data_DyHo3Ge4
_cell_length_a 3.971
_cell_length_b 6.363
_cell_length_c 15.723
_cell_angle_alpha 90.00
_cell_angle_beta 90.00
_cell_angle_gamma 90.00
_symmetry_space_group_name_H-M 'I m m m'
_symmetry_Int_Tables_number 71
_symmetry_space_group_name_Hall '-I 2 2'
loop_
_atom_site_label
_atom_site_type_symbol
_atom_site_fract_x
_atom_site_fract_y
_atom_site_fract_z
_atom_site_occupancy
Dy1 Dy 0.000 0.000 0.000 1
Ho1 Ho 0.000 0.000 0.500 1
Ho2 Ho 0.000 0.500 0.304 1
Ge1 Ge 0.000 0.306 0.132 1
```

Entry 18:
Entry from the Alexandria database: Pm4CdAg after structural relaxation (PBE).

formation energy from the elements = -174 meV per atom
calculated density = 7.46 Mg/m³

The structure in CIF format:
```
data_Pm4CdAg
_cell_length_a 3.734
_cell_length_b 3.734
_cell_length_c 12.782
_cell_angle_alpha 90.00
_cell_angle_beta 90.00
_cell_angle_gamma 90.00
_symmetry_space_group_name_H-M 'P 4/m m m'
_symmetry_Int_Tables_number 123
_symmetry_space_group_name_Hall '-P 4 2'
loop_
_atom_site_label
_atom_site_type_symbol
_atom_site_fract_x
_atom_site_fract_y
_atom_site_fract_z
_atom_site_occupancy
Pm1 Pm 0.000 0.000 0.146 1
Pm2 Pm 0.500 0.500 0.343 1
Cd1 Cd 0.000 0.000 0.500 1
Ag1 Ag 0.500 0.500 0.000 1
```

Entry 19:
Entry from the Alexandria database: V2AsC after structural relaxation (PBE).

formation energy from the elements = 181 meV per atom
calculated density = 5.02 Mg/m³

The structure in CIF format:
```
data_V2AsC
_cell_length_a 5.068
_cell_length_b 5.068
_cell_length_c 9.720
_cell_angle_alpha 90.00
_cell_angle_beta 90.00
_cell_angle_gamma 90.00
_symmetry_space_group_name_H-M 'I -4 2 d'
_symmetry_Int_Tables_number 122
_symmetry_space_group_name_Hall 'I -4 2bw'
loop_
_atom_site_label
_atom_site_type_symbol
_atom_site_fract_x
_atom_site_fract_y
_atom_site_fract_z
_atom_site_occupancy
V1 V 0.165 0.250 0.125 1
As1 As 0.000 0.000 0.500 1
C1 C 0.000 0.000 0.000 1
```

Entry 20:
Entry from the Alexandria database: Cs2CrGeTe4 after structural relaxation (PBE).

raw formation energy = -4.0 eV per formula unit
calculated density = 4.22 Mg/m³

The structure in CIF format:
```
data_Cs2CrGeTe4
_cell_length_a 7.426
_cell_length_b 14.376
_cell_length_c 26.591
_cell_angle_alpha 90.00
_cell_angle_beta 90.00
_cell_angle_gamma 90.00
_symmetry_space_group_name_H-M 'F d d d'
_symmetry_Int_Tables_number 70
loop_
_symmetry_equiv_pos_as_xyz
'x,y,z'
'-x,-y,-z'
'-x+1/4,-y+1/4,z'
'x+1/4,y+1/4,-z'
'x,-y+1/4,-z+1/4'
'-x,y+1/4,z+1/4'
'-x+1/4,y,-z+1/4'
'x+1/4,-y,z+1/4'
'x,y+1/2,z+1/2'
'-x,-y+1/2,-z+1/2'
'-x+1/4,-y+3/4,z+1/2'
'x+1/4,y+3/4,-z+1/2'
'x,-y+3/4,-z+3/4'
'-x,y+3/4,z+3/4'
'-x+1/4,y+1/2,-z+3/4'
'x+1/4,-y+1/2,z+3/4'
'x+1/2,y,z+1/2'
'-x+1/2,-y,-z+1/2'
'-x+3/4,-y+1/4,z+1/2'
'x+3/4,y+1/4,-z+1/2'
'x+1/2,-y+1/4,-z+3/4'
'-x+1/2,y+1/4,z+3/4'
'-x+3/4,y,-z+3/4'
'x+3/4,-y,z+3/4'
'x+1/2,y+1/2,z'
'-x+1/2,-y+1/2,-z'
'-x+3/4,-y+3/4,z'
'x+3/4,y+3/4,-z'
'x+1/2,-y+3/4,-z+1/4'
'-x+1/2,y+3/4,z+1/4'
'-x+3/4,y+1/2,-z+1/4'
'x+3/4,-y+1/2,z+1/4'
loop_
_atom_site_label
_atom_site_type_symbol
_atom_site_fract_x
_atom_site_fract_y
_atom_site_fract_z
_atom_site_occupancy
Cs1 Cs 0.125 0.125 0.305 1
Cr1 Cr 0.125 0.125 0.125 1
Ge1 Ge 0.125 0.125 0.625 1
Te1 Te 0.107 0.283 0.427 1
```